1.
Entry from the Alexandria database: crystalline RbPrMo2O8 at its relaxed geometry (GGA-PBEsol).

a = 6.2969 Å, b = 6.2969 Å, c = 9.5816 Å
α = 90.00°, β = 90.00°, γ = 90.00°
Space group P4/nnc (No. 126, origin choice 2)
Inequivalent atoms, fractional coordinates:
Rb: 0.2500 0.2500 0.2500 (multiplicity 2)
Pr: 0.2500 0.2500 0.7500 (multiplicity 2)
Mo: 0.2500 0.7500 0.0000 (multiplicity 4)
O: 0.0564 0.6350 0.1102 (multiplicity 16)

* magnetization: 0.00 μB/f.u.
* V: 189.96 Å³/f.u.
* energy relative to the elements, uncorrected: -55.94 kcal/mol of atoms
* N(E_F): 0.00 states/eV per cell


2.
Entry from the Alexandria database: crystalline Cs2KAlBr6 at its relaxed geometry (GGA-PBEsol).

a = 11.1379 Å, b = 11.1379 Å, c = 11.1379 Å
α = 90.00°, β = 90.00°, γ = 90.00°
Space group Fm-3m (No. 225)
Inequivalent atoms, fractional coordinates:
Cs: 0.2500 0.2500 0.2500 (multiplicity 8)
K: 0.0000 0.0000 0.0000 (multiplicity 4)
Al: 0.0000 0.0000 0.5000 (multiplicity 4)
Br: 0.0000 0.0000 0.2759 (multiplicity 24)

* magnetization: 0.00 μB/f.u.
* V: 345.42 Å³/f.u.
* energy relative to the elements, uncorrected: -35.08 kcal/mol of atoms
* N(E_F): 0.00 states/eV per cell


3.
Entry from the Alexandria database: crystalline LaSc2W at its relaxed geometry (GGA-PBEsol).

a = 3.1020 Å, b = 4.7803 Å, c = 6.0697 Å
α = 90.00°, β = 104.10°, γ = 90.00°
Space group P2/m (No. 10)
Inequivalent atoms, fractional coordinates:
La: 0.0000 0.0000 0.0000 (multiplicity 1)
Sc: 0.3949 0.5000 0.7179 (multiplicity 2)
W: 0.0000 0.0000 0.5000 (multiplicity 1)

* magnetization: 0.00 μB/f.u.
* V: 87.29 Å³/f.u.
* ΔH_f (0 K): 365 meV per atom
* N(E_F): 5.20 states/eV per cell


4.
Entry from the Alexandria database: crystalline CrRe2Cl at its relaxed geometry (GGA-PBEsol).

a = 2.8704 Å, b = 2.8704 Å, c = 6.5783 Å
α = 90.00°, β = 90.00°, γ = 90.00°
Space group P4/mmm (No. 123)
Inequivalent atoms, fractional coordinates:
Cr: 0.0000 0.0000 0.0000 (multiplicity 1)
Re: 0.5000 0.5000 0.2311 (multiplicity 2)
Cl: 0.0000 0.0000 0.5000 (multiplicity 1)

* magnetization: 0.00 μB/f.u.
* V: 54.20 Å³/f.u.
* energy relative to the elements, uncorrected: 13.21 kcal/mol of atoms
* N(E_F): 2.79 states/eV per cell


5.
Entry from the Alexandria database: crystalline Re2MoRh at its relaxed geometry (GGA-PBEsol).

a = 5.3285 Å, b = 9.0169 Å, c = 2.6509 Å
α = 90.00°, β = 113.50°, γ = 90.00°
Space group C2/m (No. 12)
Inequivalent atoms, fractional coordinates:
Re: 0.2500 0.2500 0.0000 (multiplicity 4)
Mo: 0.0000 0.0000 0.5000 (multiplicity 2)
Rh: 0.0000 0.5000 0.5000 (multiplicity 2)

* magnetization: 0.00 μB/f.u.
* V: 58.40 Å³/f.u.
* ΔH_f (0 K): 191 meV per atom
* polymorph energy (0 for the lowest one): 0.244 eV/atom
* N(E_F): 8.52 states/eV per cell


6.
Entry from the Alexandria database: crystalline BaMnO3 at its relaxed geometry (GGA-PBEsol).

a = 3.8993 Å, b = 3.8993 Å, c = 3.8993 Å
α = 90.00°, β = 90.00°, γ = 90.00°
Space group Pm-3m (No. 221)
Inequivalent atoms, fractional coordinates:
Ba: 0.0000 0.0000 0.0000 (multiplicity 1)
Mn: 0.5000 0.5000 0.5000 (multiplicity 1)
O: 0.0000 0.5000 0.5000 (multiplicity 3)

* magnetization: 3.00 μB/f.u.
* V: 59.29 Å³/f.u.
* energy relative to the elements, uncorrected: -49.45 kcal/mol of atoms
* N(E_F): 2.39 states/eV per cell


7.
Entry from the Alexandria database: crystalline ZrScBe2 at its relaxed geometry (GGA-PBEsol).

a = 6.2580 Å, b = 6.2580 Å, c = 6.2580 Å
α = 90.00°, β = 90.00°, γ = 90.00°
Space group Fm-3m (No. 225)
Inequivalent atoms, fractional coordinates:
Zr: 0.0000 0.0000 0.0000 (multiplicity 4)
Sc: 0.0000 0.0000 0.5000 (multiplicity 4)
Be: 0.2500 0.2500 0.2500 (multiplicity 8)

* magnetization: 0.00 μB/f.u.
* V: 61.27 Å³/f.u.
* ΔH_f (0 K): -66 meV per atom
* polymorph energy (0 for the lowest one): 0.003 eV/atom
* N(E_F): 12.08 states/eV per cell


8.
Entry from the Alexandria database: crystalline Ta2CrP at its relaxed geometry (GGA-PBEsol).

a = 9.0374 Å, b = 3.1364 Å, c = 4.3459 Å
α = 90.00°, β = 109.69°, γ = 90.00°
Space group Cm (No. 8)
Inequivalent atoms, fractional coordinates:
Ta: 0.0000 0.0000 0.0000 (multiplicity 2)
Ta: 0.2297 0.0000 0.7064 (multiplicity 2)
Cr: 0.2569 0.5000 0.2623 (multiplicity 2)
P: 0.4750 0.0000 0.4854 (multiplicity 2)

* magnetization: 0.00 μB/f.u.
* V: 57.99 Å³/f.u.
* ΔH_f (0 K): -186 meV per atom
* N(E_F): 7.04 states/eV per cell


9.
Entry from the Alexandria database: crystalline MnTePtI2 at its relaxed geometry (GGA-PBEsol).

a = 6.0544 Å, b = 6.0544 Å, c = 4.8677 Å
α = 90.00°, β = 90.00°, γ = 90.00°
Space group P4/mmm (No. 123)
Inequivalent atoms, fractional coordinates:
Mn: 0.0000 0.0000 0.0000 (multiplicity 1)
Te: 0.5000 0.5000 0.5000 (multiplicity 1)
Pt: 0.5000 0.5000 0.0000 (multiplicity 1)
I: 0.0000 0.5000 0.5000 (multiplicity 2)

* magnetization: 5.86 μB/f.u.
* V: 178.43 Å³/f.u.
* energy relative to the elements, uncorrected: 20.63 kcal/mol of atoms
* N(E_F): 3.03 states/eV per cell


10.
Entry from the Alexandria database: crystalline La2YAg at its relaxed geometry (GGA-PBEsol).

a = 3.7091 Å, b = 5.4672 Å, c = 11.3053 Å
α = 90.00°, β = 90.00°, γ = 90.00°
Space group Immm (No. 71)
Inequivalent atoms, fractional coordinates:
La: 0.0000 0.0000 0.2232 (multiplicity 4)
Y: 0.0000 0.5000 0.0000 (multiplicity 2)
Ag: 0.0000 0.5000 0.5000 (multiplicity 2)

* magnetization: 0.00 μB/f.u.
* V: 114.63 Å³/f.u.
* ΔH_f (0 K): -64 meV per atom
* polymorph energy (0 for the lowest one): 0.058 eV/atom
* N(E_F): 10.27 states/eV per cell


11.
Entry from the Alexandria database: crystalline LiMoP at its relaxed geometry (GGA-PBEsol).

a = 5.6236 Å, b = 5.6236 Å, c = 5.6236 Å
α = 90.00°, β = 90.00°, γ = 90.00°
Space group F-43m (No. 216)
Inequivalent atoms, fractional coordinates:
Li: 0.0000 0.0000 0.0000 (multiplicity 4)
Mo: 0.2500 0.2500 0.7500 (multiplicity 4)
P: 0.0000 0.0000 0.5000 (multiplicity 4)

* magnetization: 0.00 μB/f.u.
* V: 44.46 Å³/f.u.
* ΔH_f (0 K): 282 meV per atom
* N(E_F): 12.09 states/eV per cell


12.
Entry from the Alexandria database: crystalline In2P6O19 at its relaxed geometry (GGA-PBEsol).

a = 11.5013 Å, b = 13.1460 Å, c = 5.0464 Å
α = 90.00°, β = 90.00°, γ = 90.00°
Space group Pmmn (No. 59, origin choice 2)
Inequivalent atoms, fractional coordinates:
In: 0.0000 0.0000 0.0000 (multiplicity 4)
P: 0.1210 0.1365 0.4913 (multiplicity 8)
P: 0.2500 0.6378 0.0661 (multiplicity 4)
O: 0.0387 0.1221 0.2644 (multiplicity 8)
O: 0.1080 0.2500 0.6035 (multiplicity 4)
O: 0.1162 0.0669 0.7247 (multiplicity 8)
O: 0.1382 0.5892 0.1630 (multiplicity 8)
O: 0.2500 0.1353 0.3696 (multiplicity 4)
O: 0.2500 0.6391 0.7614 (multiplicity 4)
O: 0.2500 0.7500 0.1857 (multiplicity 2)

* magnetization: 2.08 μB/f.u.
* V: 381.50 Å³/f.u.
* energy relative to the elements, uncorrected: -43.98 kcal/mol of atoms
* N(E_F): 7.52 states/eV per cell


13.
Entry from the Alexandria database: crystalline Na2OsO4 at its relaxed geometry (GGA-PBEsol).

a = 9.5400 Å, b = 9.5400 Å, c = 3.1662 Å
α = 90.00°, β = 90.00°, γ = 120.00°
Space group P-62m (No. 189)
Inequivalent atoms, fractional coordinates:
Na: 0.0000 0.0000 0.0000 (multiplicity 1)
Na: 0.0000 0.3075 0.5000 (multiplicity 3)
Na: 0.3333 0.6667 0.5000 (multiplicity 2)
Os: 0.0000 0.6717 0.0000 (multiplicity 3)
O: 0.0000 0.5447 0.5000 (multiplicity 3)
O: 0.0000 0.8067 0.5000 (multiplicity 3)
O: 0.2154 0.4334 0.0000 (multiplicity 6)

* magnetization: 0.00 μB/f.u.
* V: 83.18 Å³/f.u.
* energy relative to the elements, uncorrected: -30.81 kcal/mol of atoms
* N(E_F): 5.04 states/eV per cell


14.
Entry from the Alexandria database: crystalline Cs19W12N30 at its relaxed geometry (GGA-PBEsol).

a = 13.1115 Å, b = 13.1115 Å, c = 28.3934 Å
α = 90.00°, β = 90.00°, γ = 120.00°
Space group R-3 (No. 148, hexagonal axes)
Inequivalent atoms, fractional coordinates:
Cs: 0.0000 0.0000 0.0000 (multiplicity 3)
Cs: 0.0045 0.8316 0.2492 (multiplicity 18)
Cs: 0.0534 0.8418 0.3936 (multiplicity 18)
Cs: 0.0542 0.2226 0.8912 (multiplicity 18)
W: 0.0198 0.4359 0.6831 (multiplicity 18)
W: 0.0236 0.5849 0.1846 (multiplicity 18)
N: 0.0064 0.5862 0.2511 (multiplicity 18)
N: 0.0066 0.7856 0.6812 (multiplicity 18)
N: 0.0078 0.2216 0.1775 (multiplicity 18)
N: 0.0636 0.4693 0.1679 (multiplicity 18)
N: 0.0666 0.5945 0.6672 (multiplicity 18)

* magnetization: 0.00 μB/f.u.
* V: 1409.07 Å³/f.u.
* energy relative to the elements, uncorrected: -13.69 kcal/mol of atoms
* N(E_F): 22.58 states/eV per cell


15.
Entry from the Alexandria database: crystalline TlHRh3 at its relaxed geometry (GGA-PBEsol).

a = 4.9481 Å, b = 4.9481 Å, c = 4.9481 Å
α = 90.00°, β = 90.00°, γ = 90.00°
Space group Pm-3m (No. 221)
Inequivalent atoms, fractional coordinates:
Tl: 0.0000 0.0000 0.0000 (multiplicity 1)
H: 0.5000 0.5000 0.5000 (multiplicity 1)
Rh: 0.0000 0.0000 0.5000 (multiplicity 3)

* magnetization: 2.98 μB/f.u.
* V: 121.15 Å³/f.u.
* polymorph energy (0 for the lowest one): 2.377 eV/atom
* N(E_F): 10.01 states/eV per cell


16.
Entry from the Alexandria database: crystalline RbFeMo2Pb at its relaxed geometry (GGA-PBEsol).

a = 4.6965 Å, b = 4.6965 Å, c = 5.0417 Å
α = 90.00°, β = 90.00°, γ = 90.00°
Space group P4/mmm (No. 123)
Inequivalent atoms, fractional coordinates:
Rb: 0.0000 0.0000 0.0000 (multiplicity 1)
Fe: 0.5000 0.5000 0.5000 (multiplicity 1)
Mo: 0.0000 0.5000 0.5000 (multiplicity 2)
Pb: 0.5000 0.5000 0.0000 (multiplicity 1)

* magnetization: 3.41 μB/f.u.
* V: 111.20 Å³/f.u.
* ΔH_f (0 K): 1435 meV per atom
* N(E_F): 4.32 states/eV per cell


17.
Entry from the Alexandria database: crystalline Nb6Fe16Si7 at its relaxed geometry (GGA-PBEsol).

a = 11.1064 Å, b = 11.1064 Å, c = 11.1064 Å
α = 90.00°, β = 90.00°, γ = 90.00°
Space group Fm-3m (No. 225)
Inequivalent atoms, fractional coordinates:
Nb: 0.0000 0.0000 0.2050 (multiplicity 24)
Fe: 0.1202 0.1202 0.3798 (multiplicity 32)
Fe: 0.1741 0.1741 0.1741 (multiplicity 32)
Si: 0.0000 0.0000 0.5000 (multiplicity 4)
Si: 0.0000 0.2500 0.2500 (multiplicity 24)

* magnetization: 0.02 μB/f.u.
* V: 342.50 Å³/f.u.
* energy relative to the elements, uncorrected: -12.08 kcal/mol of atoms
* N(E_F): 95.18 states/eV per cell


18.
Entry from the Alexandria database: crystalline SrCu2Pt at its relaxed geometry (GGA-PBEsol).

a = 2.9849 Å, b = 4.3809 Å, c = 5.6298 Å
α = 90.00°, β = 102.39°, γ = 90.00°
Space group P2/m (No. 10)
Inequivalent atoms, fractional coordinates:
Sr: 0.0000 0.0000 0.0000 (multiplicity 1)
Cu: 0.3040 0.5000 0.6804 (multiplicity 2)
Pt: 0.5000 0.0000 0.5000 (multiplicity 1)

* magnetization: 0.00 μB/f.u.
* V: 71.90 Å³/f.u.
* ΔH_f (0 K): 31 meV per atom
* polymorph energy (0 for the lowest one): 0.333 eV/atom
* N(E_F): 1.49 states/eV per cell


19.
Entry from the Alexandria database: crystalline ScTl2Hg at its relaxed geometry (GGA-PBEsol).

a = 4.5471 Å, b = 4.5471 Å, c = 4.3798 Å
α = 90.00°, β = 90.00°, γ = 90.00°
Space group P4/mmm (No. 123)
Inequivalent atoms, fractional coordinates:
Sc: 0.0000 0.0000 0.0000 (multiplicity 1)
Tl: 0.0000 0.5000 0.5000 (multiplicity 2)
Hg: 0.5000 0.5000 0.0000 (multiplicity 1)

* magnetization: 0.00 μB/f.u.
* V: 90.56 Å³/f.u.
* ΔH_f (0 K): -229 meV per atom
* N(E_F): 2.10 states/eV per cell